AlFeO3 | GGA+U | relaxed

The structure belongs to space group Pm-3m (No. 221); the cell edges are 3.7519, 3.7519 and 3.7519 Å and the angles 90.00°, 90.00° and 90.00°. Symmetry generates all atoms from Al at (0.0000, 0.0000, 0.0000), Fe at (0.5000, 0.5000, 0.5000) and O at (0.0000, 0.5000, 0.5000).

As for the uncorrected energy: -0.419 Ry/atom. The density of states at the Fermi level is 1.2 states/eV per cell. For the volume, the calculation gives 52.8 Å³ per cell.